Material: Li2CuW
Method: DFT, PBE
State: relaxed

Output
Excess energy over the best structure of this formula in the dataset   0.000 eV per formula unit
Energy relative to the elements   262 meV per atom

Cell: 2.614 2.614 9.189 Å, 90.00 90.00 112.21°
Fractional positions:
Li 0.000 0.000 0.236
Li 0.000 0.000 0.764
Cu 0.500 0.500 0.000
W 0.500 0.500 0.500



Material: Zr3ScPb2
Method: DFT, PBE
State: relaxed

Output
Energy relative to the elements   -195 meV per atom

Cell: 4.237 4.237 8.038 Å, 90.00 90.00 90.00°
Fractional positions:
Zr 0.000 0.000 0.000
Zr 0.000 0.500 0.654
Zr 0.500 0.000 0.346
Sc 0.500 0.500 0.000
Pb 0.000 0.500 0.280
Pb 0.500 0.000 0.720



Material: Dy2GaNi3
Method: DFT, PBE
State: relaxed

Output
Excess energy over the best structure of this formula in the dataset   0.283 eV per formula unit
Energy relative to the elements   -473 meV per atom

Cell: 8.224 7.992 5.534 Å, 72.32 67.80 39.87°
Fractional positions:
Dy 0.244 0.756 0.756
Dy 0.250 0.250 0.250
Dy 0.750 0.750 0.750
Dy 0.756 0.244 0.244
Ga 0.333 0.333 0.667
Ga 0.667 0.667 0.333
Ni 0.165 0.165 0.835
Ni 0.166 0.667 0.333
Ni 0.333 0.834 0.166
Ni 0.667 0.166 0.834
Ni 0.834 0.333 0.667
Ni 0.835 0.835 0.165



Material: Rb3LiCu2F9
Method: DFT, PBE
State: relaxed

Output
Formation energy from raw total energies   -2.226 eV per atom

Cell: 5.847 5.847 7.177 Å, 90.00 90.00 120.00°
Fractional positions:
Rb 0.000 0.000 0.000
Rb 0.333 0.667 0.659
Rb 0.667 0.333 0.341
Li 0.000 0.000 0.500
Cu 0.333 0.667 0.167
Cu 0.667 0.333 0.833
F 0.000 0.500 0.000
F 0.173 0.346 0.321
F 0.173 0.827 0.321
F 0.346 0.173 0.679
F 0.500 0.000 0.000
F 0.500 0.500 0.000
F 0.654 0.827 0.321
F 0.827 0.173 0.679
F 0.827 0.654 0.679



Material: Nd2PuHg
Method: DFT, PBE
State: relaxed

Output
Excess energy over the best structure of this formula in the dataset   1.114 eV per formula unit
Energy relative to the elements   164 meV per atom

Cell: 12.030 12.030 12.030 Å, 16.69 16.69 16.69°
Fractional positions:
Nd 0.094 0.094 0.094
Nd 0.906 0.906 0.906
Pu 0.000 0.000 0.000
Hg 0.500 0.500 0.500



Material: La2PrSmDy2
Method: DFT, PBE
State: relaxed

Output
Energy relative to the elements   243 meV per atom

Cell: 6.626 18.568 3.459 Å, 90.00 90.00 90.00°
Fractional positions:
La 0.212 0.190 0.000
La 0.288 0.690 0.500
La 0.712 0.310 0.500
La 0.788 0.810 0.000
Pr 0.000 0.000 0.000
Pr 0.500 0.500 0.500
Sm 0.000 0.500 0.000
Sm 0.500 0.000 0.500
Dy 0.211 0.356 0.500
Dy 0.289 0.856 0.000
Dy 0.711 0.144 0.000
Dy 0.789 0.644 0.500



What is the formula in the sixth record? La2PrSmDy2



Please write out number 5 again, unchanged.
Material: Nd2PuHg
Method: DFT, PBE
State: relaxed

Output
Excess energy over the best structure of this formula in the dataset   1.114 eV per formula unit
Energy relative to the elements   164 meV per atom

Cell: 12.030 12.030 12.030 Å, 16.69 16.69 16.69°
Fractional positions:
Nd 0.094 0.094 0.094
Nd 0.906 0.906 0.906
Pu 0.000 0.000 0.000
Hg 0.500 0.500 0.500